# 1
The following is a DFT calculation (PBE) of a relaxed structure of LaNdDyTh.

abc: 5.7760 5.7760 5.7760
angles: 60.00 60.00 60.00
Last column: nearest neighbours and their distance in Å.
Positions (direct):
1 La 0.2500 0.2500 0.2500  4 Dy 3.54, 4 Th 3.54
2 Nd 0.7500 0.7500 0.7500  4 Dy 3.54, 4 Th 3.54
3 Th 0.0000 0.0000 0.0000  4 La 3.54, 4 Nd 3.54
4 Dy 0.5000 0.5000 0.5000  4 La 3.54, 4 Nd 3.54

Results
Polymorph energy (0 for the lowest one)   71 kJ/mol of formula units
Volume   34.1 Å³ per atom
SG   No. 216

---

# 2
The following is a DFT calculation (PBE) of a relaxed structure of BaSi2Tc.

abc: 5.4055 5.4055 5.4055
angles: 133.90 107.97 89.89
Last column: nearest neighbours and their distance in Å.
Positions (direct):
1 Ba 0.2500 0.7500 0.5000  8 Si 3.38-3.39
2 Si 0.9049 0.9049 0.0000  1 Si 2.37, 2 Tc 2.43
3 Si 0.5951 0.5951 0.0000  1 Si 2.37, 2 Tc 2.43
4 Tc 0.7500 0.2500 0.5000  4 Si 2.43

Results
Raw formation energy   222 meV/atom
Polymorph energy (0 for the lowest one)   189 kJ/mol of formula units
Volume   25.7 Å³ per atom
SG   No. 71

---

# 3
The following is a DFT calculation (PBE) of a relaxed structure of DyHo2Er9.

abc: 3.4612 11.0730 11.0730
angles: 120.00 90.00 90.00
Last column: nearest neighbours and their distance in Å.
Positions (direct):
1 Dy 0.0000 0.0000 0.0000  2 Dy 3.46, 12 Er 3.81
2 Ho 0.0000 0.3333 0.6667  9 Er 3.20-3.47, 2 Ho 3.46
3 Ho 0.0000 0.6667 0.3333  9 Er 3.20-3.47, 2 Ho 3.46
4 Er 0.0000 0.0000 0.5000  2 Ho 3.20, 10 Er 3.46-3.55
5 Er 0.0000 0.5000 0.5000  2 Ho 3.20, 10 Er 3.46-3.55
6 Er 0.0000 0.5000 0.0000  2 Ho 3.20, 10 Er 3.46-3.55
7 Er 0.5000 0.3534 0.1767  8 Er 3.39-3.55, 2 Ho 3.47
8 Er 0.5000 0.1767 0.8233  8 Er 3.39-3.55, 2 Ho 3.47
9 Er 0.5000 0.1767 0.3534  8 Er 3.39-3.55, 2 Ho 3.47
10 Er 0.5000 0.8233 0.6466  8 Er 3.39-3.55, 2 Ho 3.47
11 Er 0.5000 0.8233 0.1767  8 Er 3.39-3.55, 2 Ho 3.47
12 Er 0.5000 0.6466 0.8233  8 Er 3.39-3.55, 2 Ho 3.47

Results
Polymorph energy (0 for the lowest one)   36 kJ/mol of formula units
Volume   30.6 Å³ per atom
SG   No. 191

---

# 4
The following is a DFT calculation (PBE) of a relaxed structure of TmSc3.

abc: 3.3803 5.8350 6.2406
angles: 117.87 105.71 90.00
Last column: nearest neighbours and their distance in Å.
Positions (direct):
1 Sc 0.2461 0.5811 0.4923  9 Sc 3.24-3.38, 3 Tm 3.25-3.29
2 Sc 0.5000 0.5001 0.0000  8 Sc 3.24-3.38, 4 Tm 3.35-3.39
3 Sc 0.7539 0.0888 0.5077  9 Sc 3.24-3.38, 3 Tm 3.25-3.29
4 Tm 0.0000 0.9966 0.0000  10 Sc 3.25-3.39, 2 Tm 3.38

Results
Polymorph energy (0 for the lowest one)   0 kJ/mol of formula units
Volume   25.9 Å³ per atom
SG   No. 44

---

# 5
The following is a DFT calculation (PBE) of a relaxed structure of Tm2AlZn12Ni3.

abc: 6.6349 6.6349 6.6349
angles: 84.27 84.27 84.27
Last column: nearest neighbours and their distance in Å.
Positions (direct):
1 Tm 0.7534 0.7534 0.7534  3 Ni 2.76, 6 Zn 2.98-3.04
2 Tm 0.2466 0.2466 0.2466  3 Ni 2.76, 6 Zn 2.98-3.04
3 Al 0.0000 0.0000 0.0000  6 Zn 2.55
4 Zn 0.4252 0.4252 0.8472  6 Zn 2.52-2.73
5 Zn 0.8016 0.8016 0.2905  5 Zn 2.52-2.67, 1 Ni 2.55, 1 Al 2.55
6 Zn 0.2905 0.8016 0.8016  5 Zn 2.52-2.67, 1 Ni 2.55, 1 Al 2.55
7 Zn 0.8472 0.4252 0.4252  6 Zn 2.52-2.73
8 Zn 0.8016 0.2905 0.8016  5 Zn 2.52-2.67, 1 Ni 2.55, 1 Al 2.55
9 Zn 0.4252 0.8472 0.4252  6 Zn 2.52-2.73
10 Zn 0.5748 0.5748 0.1528  6 Zn 2.52-2.73
11 Zn 0.1984 0.1984 0.7095  5 Zn 2.52-2.67, 1 Ni 2.55, 1 Al 2.55
12 Zn 0.7095 0.1984 0.1984  5 Zn 2.52-2.67, 1 Ni 2.55, 1 Al 2.55
13 Zn 0.1528 0.5748 0.5748  6 Zn 2.52-2.73
14 Zn 0.1984 0.7095 0.1984  5 Zn 2.52-2.67, 1 Ni 2.55, 1 Al 2.55
15 Zn 0.5748 0.1528 0.5748  6 Zn 2.52-2.73
16 Ni 0.5000 0.0000 0.0000  2 Zn 2.55, 2 Tm 2.76
17 Ni 0.0000 0.5000 0.0000  2 Zn 2.55, 2 Tm 2.76
18 Ni 0.0000 0.0000 0.5000  2 Zn 2.55, 2 Tm 2.76

Results
Volume   16.0 Å³ per atom
SG   No. 166

---

# 6
The following is a DFT calculation (PBE) of a relaxed structure of IrOsRu2.

abc: 2.7151 4.7027 9.4179
angles: 99.58 90.06 106.74
Last column: nearest neighbours and their distance in Å.
Positions (direct):
1 Ir 0.6229 0.2463 0.9351  5 Os 2.71-2.76, 5 Ir 2.71-2.75, 2 Ru 2.72
2 Ir 0.3771 0.7537 0.0649  5 Os 2.71-2.76, 5 Ir 2.71-2.75, 2 Ru 2.72
3 Os 0.1258 0.2511 0.1901  5 Ru 2.69-2.72, 5 Ir 2.71-2.76, 2 Os 2.72
4 Os 0.8742 0.7489 0.8099  5 Ru 2.69-2.72, 5 Ir 2.71-2.76, 2 Os 2.72
5 Ru 0.1253 0.2509 0.6857  7 Ru 2.70-2.72, 3 Os 2.71-2.72, 2 Ir 2.72
6 Ru 0.8747 0.7491 0.3143  7 Ru 2.70-2.72, 3 Os 2.71-2.72, 2 Ir 2.72
7 Ru 0.6244 0.2497 0.4373  2 Os 2.69-2.70, 10 Ru 2.70-2.72
8 Ru 0.3756 0.7503 0.5627  2 Os 2.69-2.70, 10 Ru 2.70-2.72

Results
Polymorph energy (0 for the lowest one)   27 kJ/mol of formula units
Volume   14.2 Å³ per atom
SG   No. 2

---

# 7
The following is a DFT calculation (PBE) of a relaxed structure of PuTlHg.

abc: 5.0334 5.0334 5.0334
angles: 60.00 60.00 60.00
Last column: nearest neighbours and their distance in Å.
Positions (direct):
1 Tl 0.5000 0.5000 0.5000  4 Hg 3.08
2 Hg 0.2500 0.2500 0.2500  4 Tl 3.08, 4 Pu 3.08
3 Pu 0.0000 0.0000 0.0000  4 Hg 3.08

Results
Polymorph energy (0 for the lowest one)   51 kJ/mol of formula units
Volume   30.1 Å³ per atom
SG   No. 216

---

# 8
The following is a DFT calculation (PBE) of a relaxed structure of K2Sb7Pd12.

abc: 4.3140 10.7266 10.7267
angles: 120.00 90.00 90.00
Last column: nearest neighbours and their distance in Å.
Positions (direct):
1 K 0.2415 0.3333 0.6667  6 Sb 3.39-3.41, 9 Pd 3.49-3.73
2 K 0.7585 0.6667 0.3333  6 Sb 3.39-3.41, 9 Pd 3.49-3.73
3 Sb 0.5000 0.0000 0.0000  6 Pd 2.66
4 Sb 0.2629 0.8885 0.2922  7 Pd 2.68-2.82
5 Sb 0.2629 0.4036 0.1115  7 Pd 2.68-2.82
6 Sb 0.2629 0.7078 0.5964  7 Pd 2.68-2.82
7 Sb 0.7371 0.1115 0.7078  7 Pd 2.68-2.82
8 Sb 0.7371 0.5964 0.8885  7 Pd 2.68-2.82
9 Sb 0.7371 0.2922 0.4036  7 Pd 2.68-2.82
10 Pd 0.2441 0.6212 0.0536  4 Sb 2.69-2.74, 1 Pd 2.95
11 Pd 0.2441 0.4324 0.3788  4 Sb 2.69-2.74, 1 Pd 2.95
12 Pd 0.2441 0.9464 0.5676  4 Sb 2.69-2.74, 1 Pd 2.95
13 Pd 0.7559 0.3788 0.9464  4 Sb 2.69-2.74, 1 Pd 2.95
14 Pd 0.7559 0.5676 0.6212  4 Sb 2.69-2.74, 1 Pd 2.95
15 Pd 0.7559 0.0536 0.4324  4 Sb 2.69-2.74, 1 Pd 2.95
16 Pd 0.2236 0.1174 0.2553  4 Sb 2.66-2.82, 1 Pd 2.95
17 Pd 0.2236 0.1379 0.8826  4 Sb 2.66-2.82, 1 Pd 2.95
18 Pd 0.2236 0.7447 0.8621  4 Sb 2.66-2.82, 1 Pd 2.95
19 Pd 0.7764 0.8826 0.7447  4 Sb 2.66-2.82, 1 Pd 2.95
20 Pd 0.7764 0.8621 0.1174  4 Sb 2.66-2.82, 1 Pd 2.95
21 Pd 0.7764 0.2553 0.1379  4 Sb 2.66-2.82, 1 Pd 2.95

Results
Raw formation energy   -452 meV/atom
Volume   20.5 Å³ per atom
SG   No. 147

---

# 9
The following is a DFT calculation (PBE) of a relaxed structure of SrTa2Br.

abc: 4.8899 4.8899 7.6751
angles: 69.49 69.49 39.38
Last column: nearest neighbours and their distance in Å.
Positions (direct):
1 Sr 0.7799 0.7799 0.7512  3 Br 3.16-3.21, 2 Sr 3.30, 3 Ta 3.42-3.47
2 Br 0.5826 0.5826 0.4907  2 Ta 2.82, 1 Sr 3.16
3 Ta 0.9463 0.9463 0.0892  3 Ta 2.55-2.74
4 Ta 0.1913 0.1913 0.1689  3 Ta 2.55-2.74, 2 Br 2.82

Results
Raw formation energy   391 meV/atom
Polymorph energy (0 for the lowest one)   125 kJ/mol of formula units
Volume   27.0 Å³ per atom
SG   No. 8

---

# 10
The following is a DFT calculation (PBE) of a relaxed structure of SmTlPb.

abc: 3.5895 7.3457 8.5258
angles: 107.99 88.85 122.17
Last column: nearest neighbours and their distance in Å.
Positions (direct):
1 Pb 0.1292 0.7448 0.9990  4 Pb 3.21-3.59, 2 Tl 3.21-3.27, 3 Sm 3.25-3.58
2 Pb 0.8708 0.2552 0.0010  4 Pb 3.21-3.59, 2 Tl 3.21-3.27, 3 Sm 3.25-3.58
3 Tl 0.1622 0.6632 0.3526  2 Pb 3.21-3.27, 4 Sm 3.26-3.54, 2 Tl 3.59
4 Tl 0.8378 0.3368 0.6474  2 Pb 3.21-3.27, 4 Sm 3.26-3.54, 2 Tl 3.59
5 Sm 0.8655 0.8589 0.6944  4 Pb 3.25-3.63, 4 Tl 3.26-3.54, 2 Sm 3.59
6 Sm 0.1345 0.1411 0.3056  4 Pb 3.25-3.63, 4 Tl 3.26-3.54, 2 Sm 3.59

Results
Polymorph energy (0 for the lowest one)   29 kJ/mol of formula units
Volume   29.7 Å³ per atom
SG   No. 2

---

# 11
The following is a DFT calculation (PBE) of a relaxed structure of Pr6SnP2Br3.

abc: 4.2965 8.9054 9.9018
angles: 105.03 102.53 90.00
Last column: nearest neighbours and their distance in Å.
Positions (direct):
1 Pr 0.3338 0.8767 0.6677  2 P 2.87, 1 Sn 3.11, 1 Br 3.20
2 Pr 0.6773 0.5586 0.3547  3 P 2.85-2.88
3 Pr 0.6662 0.1233 0.3323  2 P 2.87, 1 Sn 3.11, 1 Br 3.20
4 Pr 0.0174 0.2530 0.0347  1 P 2.85, 2 Sn 3.07, 2 Br 3.16
5 Pr 0.9826 0.7470 0.9653  1 P 2.85, 2 Sn 3.07, 2 Br 3.16
6 Pr 0.3227 0.4414 0.6453  3 P 2.85-2.88
7 Sn 0.5000 0.0000 0.0000  6 Pr 3.07-3.11
8 P 0.8300 0.6605 0.6599  6 Pr 2.85-2.88
9 P 0.1700 0.3395 0.3401  6 Pr 2.85-2.88
10 Br 0.5000 0.5000 0.0000  6 Pr 3.16-3.33
11 Br 0.8356 0.1669 0.6713  6 Pr 3.20-3.39
12 Br 0.1644 0.8331 0.3287  6 Pr 3.20-3.39

Results
Raw formation energy   -1324 meV/atom
Volume   29.7 Å³ per atom
SG   No. 12

---

# 12
The following is a DFT calculation (PBE) of a relaxed structure of TlFeS2N.

abc: 4.8380 4.8380 3.4805
angles: 90.00 90.00 90.00
Last column: nearest neighbours and their distance in Å.
Positions (direct):
1 S 0.0000 0.5000 0.0000  2 Fe 2.42
2 S 0.5000 0.0000 0.0000  2 Fe 2.42
3 Tl 0.5000 0.5000 0.5000  8 S 2.98
4 Fe 0.0000 0.0000 0.0000  2 N 1.74
5 N 0.0000 0.0000 0.5000  2 Fe 1.74

Results
Raw formation energy   281 meV/atom
Polymorph energy (0 for the lowest one)   0 kJ/mol of formula units
Volume   16.3 Å³ per atom
SG   No. 123

---

# 13
The following is a DFT calculation (PBE) of a relaxed structure of Tb2YAu6.

abc: 5.3003 5.2678 8.5327
angles: 72.02 80.99 59.52
Last column: nearest neighbours and their distance in Å.
Positions (direct):
1 Tb 0.5000 0.8350 0.8299  10 Au 3.04-3.14
2 Tb 0.5000 0.1650 0.1701  10 Au 3.04-3.14
3 Y 0.0000 0.0000 0.5000  10 Au 3.02-3.09
4 Au 0.1676 0.8350 0.1680  5 Au 3.01-3.13, 4 Tb 3.04-3.14, 1 Y 3.09
5 Au 0.8324 0.4970 0.1680  5 Au 3.01-3.13, 4 Tb 3.04-3.14, 1 Y 3.09
6 Au 0.8324 0.1650 0.8320  5 Au 3.01-3.13, 4 Tb 3.04-3.14, 1 Y 3.09
7 Au 0.1676 0.5030 0.8320  5 Au 3.01-3.13, 4 Tb 3.04-3.14, 1 Y 3.09
8 Au 0.3276 0.3300 0.5000  5 Au 2.99-3.14, 3 Y 3.02-3.07, 2 Tb 3.07
9 Au 0.6724 0.6700 0.5000  5 Au 2.99-3.14, 3 Y 3.02-3.07, 2 Tb 3.07

Results
Volume   21.7 Å³ per atom
SG   No. 12

---

# 14
The following is a DFT calculation (PBE) of a relaxed structure of LuURh4.

abc: 5.2956 5.2956 5.2956
angles: 60.00 60.00 60.00
Last column: nearest neighbours and their distance in Å.
Positions (direct):
1 Rh 0.6252 0.6252 0.1243  6 Rh 2.64-2.65
2 Rh 0.6252 0.1243 0.6252  6 Rh 2.64-2.65
3 Rh 0.6252 0.6252 0.6252  6 Rh 2.64-2.65
4 Rh 0.1243 0.6252 0.6252  6 Rh 2.64-2.65
5 Lu 0.0000 0.0000 0.0000  12 Rh 3.10, 4 U 3.24
6 U 0.2500 0.2500 0.2500  12 Rh 3.11, 4 Lu 3.24

Results
Volume   17.5 Å³ per atom
SG   No. 216

---

# 15
The following is a DFT calculation (PBE) of a relaxed structure of NaSb2Se3.

abc: 7.0477 8.1169 8.1169
angles: 90.35 90.00 90.00
Last column: nearest neighbours and their distance in Å.
Positions (direct):
1 Na 0.2500 0.4370 0.5630  2 Se 2.94
2 Na 0.7500 0.5630 0.4370  2 Se 2.94
3 Sb 0.0000 0.1847 0.1847  4 Se 2.75-2.91
4 Sb 0.5000 0.1847 0.1847  4 Se 2.75-2.91
5 Sb 0.0000 0.8153 0.8153  4 Se 2.75-2.91
6 Sb 0.5000 0.8153 0.8153  4 Se 2.75-2.91
7 Se 0.7500 0.0824 0.9176  4 Sb 2.91
8 Se 0.7500 0.2007 0.4440  2 Sb 2.75, 1 Na 2.94
9 Se 0.2500 0.4440 0.2007  2 Sb 2.75, 1 Na 2.94
10 Se 0.7500 0.5560 0.7993  2 Sb 2.75, 1 Na 2.94
11 Se 0.2500 0.7993 0.5560  2 Sb 2.75, 1 Na 2.94
12 Se 0.2500 0.9176 0.0824  4 Sb 2.91

Results
Raw formation energy   -185 meV/atom
Polymorph energy (0 for the lowest one)   149 kJ/mol of formula units
Volume   38.7 Å³ per atom
SG   No. 63

---

# 16
The following is a DFT calculation (PBE) of a relaxed structure of Tc2NiCl.

abc: 5.2138 5.2138 5.2138
angles: 148.25 130.28 60.21
Last column: nearest neighbours and their distance in Å.
Positions (direct):
1 Cl 0.7500 0.2500 0.5000  4 Tc 2.49, 4 Ni 2.61-2.62
2 Ni 0.2500 0.7500 0.5000  4 Cl 2.61-2.62, 4 Tc 2.85, 2 Ni 2.85
3 Tc 0.9766 0.9766 0.0000  2 Cl 2.49, 4 Tc 2.65
4 Tc 0.5234 0.5234 0.0000  2 Cl 2.49, 4 Tc 2.65

Results
Raw formation energy   698 meV/atom
Polymorph energy (0 for the lowest one)   175 kJ/mol of formula units
Volume   14.1 Å³ per atom
SG   No. 71

---

# 17
The following is a DFT calculation (PBE) of a relaxed structure of BiSe2S6.

abc: 5.0976 14.9667 9.9679
angles: 152.96 96.76 100.87
Last column: nearest neighbours and their distance in Å.
Positions (direct):
1 Bi 0.5000 0.5000 0.0000  6 S 2.93-2.98, 2 Se 3.20
2 Se 0.9607 0.1103 0.8020  1 S 2.10
3 Se 0.0393 0.8897 0.1980  1 S 2.10
4 S 0.3380 0.7932 0.7148  2 S 2.01-2.15
5 S 0.6620 0.2068 0.2852  2 S 2.01-2.15
6 S 0.5802 0.7476 0.0810  1 Se 2.10
7 S 0.2077 0.7046 0.3940  1 S 2.01
8 S 0.4198 0.2524 0.9190  1 Se 2.10
9 S 0.7923 0.2954 0.6060  1 S 2.01

Results
Raw formation energy   67 meV/atom
Volume   29.0 Å³ per atom
SG   No. 2

---

# 18
The following is a DFT calculation (PBE) of a relaxed structure of KAgTeN2.

abc: 4.5996 4.5996 5.6964
angles: 90.00 90.00 90.00
Last column: nearest neighbours and their distance in Å.
Positions (direct):
1 K 0.5000 0.5000 0.5000  4 Te 3.25
2 Te 0.0000 0.0000 0.5000  2 Ag 2.85
3 Ag 0.0000 0.0000 0.0000  4 N 2.30
4 N 0.0000 0.5000 0.0000  2 Ag 2.30
5 N 0.5000 0.0000 0.0000  2 Ag 2.30

Results
Raw formation energy   1433 meV/atom
Polymorph energy (0 for the lowest one)   0 kJ/mol of formula units
Volume   24.1 Å³ per atom
SG   No. 123

---

# 19
The following is a DFT calculation (PBE) of a relaxed structure of NaPb3W.

abc: 5.4651 5.4651 5.4651
angles: 90.00 90.00 90.00
Last column: nearest neighbours and their distance in Å.
Positions (direct):
1 Pb 0.0000 0.5000 0.0000  2 W 2.73
2 Pb 0.0000 0.0000 0.5000  2 W 2.73
3 Pb 0.5000 0.0000 0.0000  2 W 2.73
4 Na 0.5000 0.5000 0.5000  12 Pb 3.86
5 W 0.0000 0.0000 0.0000  6 Pb 2.73

Results
Polymorph energy (0 for the lowest one)   0 kJ/mol of formula units
Volume   32.6 Å³ per atom
SG   No. 221

---

# 20
The following is a DFT calculation (PBE) of a relaxed structure of Sc3TlSn.

abc: 5.3040 5.3040 5.3040
angles: 90.00 90.00 90.00
Last column: nearest neighbours and their distance in Å.
Positions (direct):
1 Sc 0.0000 0.5000 0.0000  2 Tl 2.65
2 Sc 0.0000 0.0000 0.5000  2 Tl 2.65
3 Sc 0.5000 0.0000 0.0000  2 Tl 2.65
4 Tl 0.0000 0.0000 0.0000  6 Sc 2.65
5 Sn 0.5000 0.5000 0.5000  12 Sc 3.75

Results
Polymorph energy (0 for the lowest one)   266 kJ/mol of formula units
Volume   29.8 Å³ per atom
SG   No. 221

---

Sequential DFT total energy output: -5.218; -5.561; -4.514; -5.853; -2.569; -9.597; -5.556; -4.898; -6.374; -3.848; -5.367; -5.201; -4.722; -8.108; -3.522; -6.392; -3.890; -3.315; -4.613; -4.855 eV/atom